Material: FeRuPt2
Method: DFT, PBE
State: optimized geometry

Lattice parameters (Å, degrees): 2.728 3.804 5.561 90.00 90.00 90.00
Space group Pmm2 (No. 25)
Unique sites:
1 Fe 0.000 0.000 0.000 x1
2 Ru 0.500 0.500 0.761 x1
3 Pt 0.000 0.000 0.519 x1
4 Pt 0.500 0.500 0.243 x1

The energy of formation from the pure elements is -2.9 kJ per mole of atoms. The density of states at the Fermi level comes out at 1.22 states/eV/atom.